# ThZnPb (PBE, optimized geometry)
# E_tot = -4.364 eV/atom
# SG = Cc
# Energy relative to the elements = -230 meV/atom
# Fermi-level density of states = 0.081 states/eV per atom
data_ThZnPb
_chemical_formula_sum 'Th4 Zn4 Pb4'
_symmetry_space_group_name_H-M 'P 1'
_symmetry_Int_Tables_number 1
_cell_length_a 6.336
_cell_length_b 6.322
_cell_length_c 8.517
_cell_angle_alpha 90.00
_cell_angle_beta 111.49
_cell_angle_gamma 90.00
loop_
_symmetry_equiv_pos_as_xyz
'x,y,z'
loop_
_atom_site_label
_atom_site_fract_x
_atom_site_fract_y
_atom_site_fract_z
Th1 0.000 0.134 0.000
Th2 0.000 0.866 0.500
Th3 0.500 0.366 0.500
Th4 0.500 0.634 0.000
Zn1 0.489 0.201 0.833
Zn2 0.489 0.799 0.333
Zn3 0.989 0.299 0.333
Zn4 0.989 0.701 0.833
Pb1 0.063 0.358 0.667
Pb2 0.063 0.642 0.167
Pb3 0.563 0.142 0.167
Pb4 0.563 0.858 0.667

***

# TaPt2 (PBE, optimized geometry)
# E_tot = -8.243 eV/atom
# SG = Fd-3m
# Energy relative to the elements = -265 meV/atom
# Fermi-level density of states = 0.960 states/eV per atom
data_TaPt2
_chemical_formula_sum 'Ta2 Pt4'
_symmetry_space_group_name_H-M 'P 1'
_symmetry_Int_Tables_number 1
_cell_length_a 5.218
_cell_length_b 5.218
_cell_length_c 5.218
_cell_angle_alpha 60.00
_cell_angle_beta 60.00
_cell_angle_gamma 60.00
loop_
_symmetry_equiv_pos_as_xyz
'x,y,z'
loop_
_atom_site_label
_atom_site_fract_x
_atom_site_fract_y
_atom_site_fract_z
Ta1 0.125 0.125 0.125
Ta2 0.875 0.875 0.875
Pt1 0.000 0.500 0.500
Pt2 0.500 0.000 0.500
Pt3 0.500 0.500 0.000
Pt4 0.500 0.500 0.500

***

# Pm3Er2Tm (PBE, optimized geometry)
# E_tot = -4.621 eV/atom
# SG = P2_1/m
# Energy relative to the elements = 20 meV/atom
# Fermi-level density of states = 1.369 states/eV per atom
data_Pm3Er2Tm
_chemical_formula_sum 'Pm6 Er4 Tm2'
_symmetry_space_group_name_H-M 'P 1'
_symmetry_Int_Tables_number 1
_cell_length_a 8.756
_cell_length_b 3.581
_cell_length_c 12.365
_cell_angle_alpha 90.00
_cell_angle_beta 90.05
_cell_angle_gamma 90.00
loop_
_symmetry_equiv_pos_as_xyz
'x,y,z'
loop_
_atom_site_label
_atom_site_fract_x
_atom_site_fract_y
_atom_site_fract_z
Pm1 0.170 0.250 0.289
Pm2 0.170 0.250 0.794
Pm3 0.172 0.750 0.542
Pm4 0.828 0.250 0.458
Pm5 0.830 0.750 0.206
Pm6 0.830 0.750 0.711
Er1 0.169 0.750 0.041
Er2 0.499 0.250 0.124
Er3 0.501 0.750 0.876
Er4 0.831 0.250 0.959
Tm1 0.499 0.750 0.374
Tm2 0.501 0.250 0.626

***

# LaAgPb3 (PBE, optimized geometry)
# E_tot = -2.989 eV/atom
# SG = Pm-3m
# Energy relative to the elements = 792 meV/atom
# Fermi-level density of states = 1.186 states/eV per atom
data_LaAgPb3
_chemical_formula_sum 'La1 Ag1 Pb3'
_symmetry_space_group_name_H-M 'P 1'
_symmetry_Int_Tables_number 1
_cell_length_a 6.140
_cell_length_b 6.140
_cell_length_c 6.140
_cell_angle_alpha 90.00
_cell_angle_beta 90.00
_cell_angle_gamma 90.00
loop_
_symmetry_equiv_pos_as_xyz
'x,y,z'
loop_
_atom_site_label
_atom_site_fract_x
_atom_site_fract_y
_atom_site_fract_z
La1 0.000 0.000 0.000
Ag1 0.500 0.500 0.500
Pb1 0.000 0.000 0.500
Pb2 0.000 0.500 0.000
Pb3 0.500 0.000 0.000

***

# ScTa2Mn9 (PBE, optimized geometry)
# E_tot = -9.492 eV/atom
# SG = R-3m
# Energy relative to the elements = -112 meV/atom
# Fermi-level density of states = 1.353 states/eV per atom
data_ScTa2Mn9
_chemical_formula_sum 'Sc1 Ta2 Mn9'
_symmetry_space_group_name_H-M 'P 1'
_symmetry_Int_Tables_number 1
_cell_length_a 8.353
_cell_length_b 8.353
_cell_length_c 8.353
_cell_angle_alpha 33.27
_cell_angle_beta 33.27
_cell_angle_gamma 33.27
loop_
_symmetry_equiv_pos_as_xyz
'x,y,z'
loop_
_atom_site_label
_atom_site_fract_x
_atom_site_fract_y
_atom_site_fract_z
Sc1 0.000 0.000 0.000
Ta1 0.141 0.141 0.141
Ta2 0.859 0.859 0.859
Mn1 0.073 0.590 0.590
Mn2 0.338 0.338 0.338
Mn3 0.410 0.410 0.927
Mn4 0.410 0.927 0.410
Mn5 0.500 0.500 0.500
Mn6 0.590 0.073 0.590
Mn7 0.590 0.590 0.073
Mn8 0.662 0.662 0.662
Mn9 0.927 0.410 0.410

***

# BaAlWS (PBE, optimized geometry)
# E_tot = -5.868 eV/atom
# SG = Cm
# Fermi-level density of states = 0.664 states/eV per atom
# Formation energy from raw total energies = -0.1811 eV/atom
data_BaAlWS
_chemical_formula_sum 'Ba2 Al2 W2 S2'
_symmetry_space_group_name_H-M 'P 1'
_symmetry_Int_Tables_number 1
_cell_length_a 13.870
_cell_length_b 4.093
_cell_length_c 3.365
_cell_angle_alpha 90.00
_cell_angle_beta 99.73
_cell_angle_gamma 90.00
loop_
_symmetry_equiv_pos_as_xyz
'x,y,z'
loop_
_atom_site_label
_atom_site_fract_x
_atom_site_fract_y
_atom_site_fract_z
Ba1 0.000 0.000 0.000
Ba2 0.500 0.500 0.000
Al1 0.286 0.000 0.687
Al2 0.786 0.500 0.687
W1 0.240 0.500 0.168
W2 0.740 0.000 0.168
S1 0.113 0.500 0.578
S2 0.613 0.000 0.578

***

# BaTm2In2Hg2 (PBE, optimized geometry)
# E_tot = -2.782 eV/atom
# SG = R-3m
# Energy relative to the elements = -361 meV/atom
# Fermi-level density of states = 0.314 states/eV per atom
data_BaTm2In2Hg2
_chemical_formula_sum 'Ba1 Tm2 In2 Hg2'
_symmetry_space_group_name_H-M 'P 1'
_symmetry_Int_Tables_number 1
_cell_length_a 10.133
_cell_length_b 10.133
_cell_length_c 10.133
_cell_angle_alpha 28.74
_cell_angle_beta 28.74
_cell_angle_gamma 28.74
loop_
_symmetry_equiv_pos_as_xyz
'x,y,z'
loop_
_atom_site_label
_atom_site_fract_x
_atom_site_fract_y
_atom_site_fract_z
Ba1 0.000 0.000 0.000
Tm1 0.136 0.136 0.136
Tm2 0.864 0.864 0.864
In1 0.252 0.252 0.252
In2 0.748 0.748 0.748
Hg1 0.442 0.442 0.442
Hg2 0.558 0.558 0.558

***

# Tm8Te3CS3 (PBE, optimized geometry)
# E_tot = -5.767 eV/atom
# SG = C2/m
# Fermi-level density of states = 0.482 states/eV per atom
# Formation energy from raw total energies = -1.3136 eV/atom
data_Tm8Te3CS3
_chemical_formula_sum 'Tm8 Te3 C1 S3'
_symmetry_space_group_name_H-M 'P 1'
_symmetry_Int_Tables_number 1
_cell_length_a 7.849
_cell_length_b 7.849
_cell_length_c 8.268
_cell_angle_alpha 118.37
_cell_angle_beta 118.37
_cell_angle_gamma 59.92
loop_
_symmetry_equiv_pos_as_xyz
'x,y,z'
loop_
_atom_site_label
_atom_site_fract_x
_atom_site_fract_y
_atom_site_fract_z
Tm1 0.216 0.216 0.692
Tm2 0.216 0.761 0.693
Tm3 0.239 0.784 0.307
Tm4 0.267 0.267 0.301
Tm5 0.733 0.733 0.699
Tm6 0.761 0.216 0.693
Tm7 0.784 0.239 0.307
Tm8 0.784 0.784 0.308
Te1 0.000 0.000 0.000
Te2 0.000 0.500 0.000
Te3 0.500 0.000 0.000
C1 0.000 0.000 0.500
S1 0.000 0.500 0.500
S2 0.500 0.000 0.500
S3 0.500 0.500 0.500